Entry 1:
Material: CdNOF2
Method: DFT, PBE-GGA
State: relaxed

POSCAR file:
```
CdNOF2
1.0
4.307 0.000 0.000
0.000 4.307 0.000
0.000 0.000 5.003
Cd N O F
1 1 1 2
Direct
0.000 0.000 0.000
0.000 0.000 0.500
0.500 0.500 0.500
0.000 0.500 0.000
0.500 0.000 0.000
```

E_form (uncorrected) ... 0.50 eV/atom
Relative energy among the computed polymorphs ... 329.4 meV per atom
Space group ... P4/mmm, No. 123


Entry 2:
Material: CdNOF2
Method: DFT, PBE-GGA
State: relaxed

POSCAR file:
```
CdNOF2
1.0
3.689 0.000 0.000
0.000 3.689 0.000
0.000 0.000 3.971
Cd N O F
1 1 1 2
Direct
0.000 0.000 0.000
0.500 0.500 0.500
0.500 0.500 0.000
0.000 0.500 0.500
0.500 0.000 0.500
```

E_form (uncorrected) ... 0.17 eV/atom
Relative energy among the computed polymorphs ... 0.0 meV per atom
Space group ... P4/mmm, No. 123


Entry 3:
Material: CdN2OF
Method: DFT, PBE-GGA
State: relaxed

POSCAR file:
```
CdN2OF
1.0
4.494 0.000 0.000
0.000 4.494 0.000
0.000 0.000 4.359
Cd N O F
1 2 1 1
Direct
0.000 0.000 0.000
0.000 0.500 0.000
0.500 0.000 0.000
0.500 0.500 0.500
0.000 0.000 0.500
```

E_form (uncorrected) ... 1.77 eV/atom
Space group ... P4/mmm, No. 123


Entry 4:
Material: CdN2OF
Method: DFT, PBE-GGA
State: relaxed

POSCAR file:
```
CdN2OF
1.0
3.589 0.000 0.000
0.000 3.589 0.000
0.000 0.000 5.299
Cd N O F
1 2 1 1
Direct
0.000 0.000 0.000
0.000 0.500 0.500
0.500 0.000 0.500
0.500 0.500 0.000
0.500 0.500 0.500
```

E_form (uncorrected) ... 1.89 eV/atom
Space group ... P4/mmm, No. 123


Entry 5:
Material: CdNOF2
Method: DFT, PBE-GGA
State: relaxed

POSCAR file:
```
CdNOF2
1.0
4.281 0.000 0.000
0.000 4.281 0.000
0.000 0.000 4.781
Cd N O F
1 1 1 2
Direct
0.000 0.000 0.000
0.500 0.500 0.500
0.000 0.000 0.500
0.000 0.500 0.000
0.500 0.000 0.000
```

E_form (uncorrected) ... 0.36 eV/atom
Relative energy among the computed polymorphs ... 191.1 meV per atom
Space group ... P4/mmm, No. 123


Entry 6:
Material: CdN2OF
Method: DFT, PBE-GGA
State: relaxed

POSCAR file:
```
CdN2OF
1.0
3.424 0.000 0.000
0.000 3.424 0.000
0.000 0.000 5.040
Cd N O F
1 2 1 1
Direct
0.000 0.000 0.000
0.000 0.500 0.500
0.500 0.000 0.500
0.500 0.500 0.500
0.500 0.500 0.000
```

E_form (uncorrected) ... 1.36 eV/atom
Space group ... P4/mmm, No. 123


Entry 7:
Material: CdOsNF2
Method: DFT, PBE-GGA
State: relaxed

POSCAR file:
```
CdOsNF2
1.0
4.146 0.000 0.000
0.000 4.146 0.000
0.000 0.000 4.627
Cd Os N F
1 1 1 2
Direct
0.000 0.000 0.000
0.500 0.500 0.500
0.000 0.000 0.500
0.000 0.500 0.000
0.500 0.000 0.000
```

E_form (uncorrected) ... 0.88 eV/atom
Relative energy among the computed polymorphs ... 1196.2 meV per atom
Space group ... P4/mmm, No. 123


Entry 8:
Material: CdOsNF2
Method: DFT, PBE-GGA
State: relaxed

POSCAR file:
```
CdOsNF2
1.0
4.378 0.000 0.000
0.000 4.378 0.000
0.000 0.000 3.756
Cd Os N F
1 1 1 2
Direct
0.000 0.000 0.000
0.500 0.500 0.500
0.500 0.500 0.000
0.000 0.500 0.500
0.500 0.000 0.500
```

E_form (uncorrected) ... -0.32 eV/atom
Relative energy among the computed polymorphs ... 0.0 meV per atom
Space group ... P4/mmm, No. 123


Entry 9:
Material: CdPNF2
Method: DFT, PBE-GGA
State: relaxed

POSCAR file:
```
CdPNF2
1.0
4.611 0.000 0.000
0.000 4.611 0.000
0.000 0.000 3.269
Cd P N F
1 1 1 2
Direct
0.000 0.000 0.000
0.500 0.500 0.500
0.500 0.500 0.000
0.000 0.500 0.500
0.500 0.000 0.500
```

E_form (uncorrected) ... -0.49 eV/atom
Relative energy among the computed polymorphs ... 0.0 meV per atom
Space group ... P4/mmm, No. 123


Entry 10:
Material: CdPNF2
Method: DFT, PBE-GGA
State: relaxed

POSCAR file:
```
CdPNF2
1.0
4.229 0.000 0.000
0.000 4.229 0.000
0.000 0.000 4.807
Cd P N F
1 1 1 2
Direct
0.000 0.000 0.000
0.500 0.500 0.500
0.000 0.000 0.500
0.000 0.500 0.000
0.500 0.000 0.000
```

E_form (uncorrected) ... 0.31 eV/atom
Relative energy among the computed polymorphs ... 805.7 meV per atom
Space group ... P4/mmm, No. 123


Entry 11:
Material: CdPbNF2
Method: DFT, PBE-GGA
State: relaxed

POSCAR file:
```
CdPbNF2
1.0
4.373 0.000 0.000
0.000 4.373 0.000
0.000 0.000 4.482
Cd Pb N F
1 1 1 2
Direct
0.000 0.000 0.000
0.500 0.500 0.500
0.000 0.000 0.500
0.000 0.500 0.000
0.500 0.000 0.000
```

E_form (uncorrected) ... -0.61 eV/atom
Relative energy among the computed polymorphs ... 0.0 meV per atom
Space group ... P4/mmm, No. 123


Entry 12:
Material: CdPbNF2
Method: DFT, PBE-GGA
State: relaxed

POSCAR file:
```
CdPbNF2
1.0
4.515 0.000 0.000
0.000 4.515 0.000
0.000 0.000 4.498
Cd Pb N F
1 1 1 2
Direct
0.000 0.000 0.000
0.500 0.500 0.500
0.500 0.500 0.000
0.000 0.500 0.500
0.500 0.000 0.500
```

E_form (uncorrected) ... -0.47 eV/atom
Relative energy among the computed polymorphs ... 140.5 meV per atom
Space group ... P4/mmm, No. 123


Entry 13:
Material: CdPdN2F
Method: DFT, PBE-GGA
State: relaxed

POSCAR file:
```
CdPdN2F
1.0
4.001 0.000 0.000
0.000 4.001 0.000
0.000 0.000 4.393
Cd Pd N F
1 1 2 1
Direct
0.000 0.000 0.000
0.500 0.500 0.500
0.000 0.500 0.500
0.500 0.000 0.500
0.500 0.500 0.000
```

E_form (uncorrected) ... 0.78 eV/atom
Relative energy among the computed polymorphs ... 0.0 meV per atom
Space group ... P4/mmm, No. 123


Entry 14:
Material: CdPdN2F
Method: DFT, PBE-GGA
State: relaxed

POSCAR file:
```
CdPdN2F
1.0
4.275 0.000 0.000
0.000 4.275 0.000
0.000 0.000 4.450
Cd Pd N F
1 1 2 1
Direct
0.000 0.000 0.000
0.500 0.500 0.500
0.000 0.500 0.000
0.500 0.000 0.000
0.000 0.000 0.500
```

E_form (uncorrected) ... 1.43 eV/atom
Relative energy among the computed polymorphs ... 646.8 meV per atom
Space group ... P4/mmm, No. 123


Entry 15:
Material: CdPtN2F
Method: DFT, PBE-GGA
State: relaxed

POSCAR file:
```
CdPtN2F
1.0
4.060 0.000 0.000
0.000 4.060 0.000
0.000 0.000 4.148
Cd Pt N F
1 1 2 1
Direct
0.000 0.000 0.000
0.500 0.500 0.000
0.000 0.500 0.500
0.500 0.000 0.500
0.000 0.000 0.500
```

E_form (uncorrected) ... 1.94 eV/atom
Relative energy among the computed polymorphs ... 1398.8 meV per atom
Space group ... P4/mmm, No. 123


Entry 16:
Material: CdPtN2F
Method: DFT, PBE-GGA
State: relaxed

POSCAR file:
```
CdPtN2F
1.0
4.240 0.000 0.000
0.000 4.240 0.000
0.000 0.000 4.060
Cd Pt N F
1 1 2 1
Direct
0.000 0.000 0.000
0.500 0.500 0.500
0.000 0.500 0.000
0.500 0.000 0.000
0.000 0.000 0.500
```

E_form (uncorrected) ... 1.70 eV/atom
Relative energy among the computed polymorphs ... 1151.3 meV per atom
Space group ... P4/mmm, No. 123


Entry 17:
Material: CdPtN2F
Method: DFT, PBE-GGA
State: relaxed

POSCAR file:
```
CdPtN2F
1.0
3.723 0.000 0.000
0.000 3.723 0.000
0.000 0.000 6.495
Cd Pt N F
1 1 2 1
Direct
0.000 0.000 0.000
0.500 0.500 0.500
0.000 0.500 0.500
0.500 0.000 0.500
0.500 0.500 0.000
```

E_form (uncorrected) ... 0.55 eV/atom
Relative energy among the computed polymorphs ... 0.0 meV per atom
Space group ... P4/mmm, No. 123


Entry 18:
Material: RbCdN2F
Method: DFT, PBE-GGA
State: relaxed

POSCAR file:
```
RbCdN2F
1.0
5.899 0.000 0.000
0.000 5.899 0.000
0.000 0.000 5.033
Rb Cd N F
1 1 2 1
Direct
0.000 0.000 0.000
0.500 0.500 0.500
0.000 0.500 0.000
0.500 0.000 0.000
0.000 0.000 0.500
```

E_form (uncorrected) ... 1.30 eV/atom
Relative energy among the computed polymorphs ... 869.3 meV per atom
Space group ... P4/mmm, No. 123


Entry 19:
Material: RbCdNF2
Method: DFT, PBE-GGA
State: relaxed

POSCAR file:
```
RbCdNF2
1.0
4.703 0.000 0.000
0.000 4.703 0.000
0.000 0.000 4.425
Rb Cd N F
1 1 1 2
Direct
0.000 0.000 0.000
0.500 0.500 0.500
0.500 0.500 0.000
0.000 0.500 0.500
0.500 0.000 0.500
```

E_form (uncorrected) ... -1.00 eV/atom
Relative energy among the computed polymorphs ... 0.0 meV per atom
Space group ... P4/mmm, No. 123


Entry 20:
Material: RbCdNF2
Method: DFT, PBE-GGA
State: relaxed

POSCAR file:
```
RbCdNF2
1.0
5.111 0.000 0.000
0.000 5.111 0.000
0.000 0.000 5.312
Rb Cd N F
1 1 1 2
Direct
0.000 0.000 0.000
0.500 0.500 0.500
0.000 0.000 0.500
0.000 0.500 0.000
0.500 0.000 0.000
```

E_form (uncorrected) ... 0.03 eV/atom
Relative energy among the computed polymorphs ... 1033.9 meV per atom
Space group ... P4/mmm, No. 123


Entry 21:
Material: RbCdN2F
Method: DFT, PBE-GGA
State: relaxed

POSCAR file:
```
RbCdN2F
1.0
4.436 0.000 0.000
0.000 4.436 0.000
0.000 0.000 4.904
Rb Cd N F
1 1 2 1
Direct
0.000 0.000 0.000
0.500 0.500 0.500
0.000 0.500 0.500
0.500 0.000 0.500
0.500 0.500 0.000
```

E_form (uncorrected) ... 0.43 eV/atom
Relative energy among the computed polymorphs ... 0.0 meV per atom
Space group ... P4/mmm, No. 123


Entry 22:
Material: CdReN2F
Method: DFT, PBE-GGA
State: relaxed

POSCAR file:
```
CdReN2F
1.0
4.240 0.000 0.000
0.000 4.240 0.000
0.000 0.000 4.135
Cd Re N F
1 1 2 1
Direct
0.000 0.000 0.000
0.500 0.500 0.500
0.000 0.500 0.000
0.500 0.000 0.000
0.000 0.000 0.500
```

E_form (uncorrected) ... 1.84 eV/atom
Relative energy among the computed polymorphs ... 1843.0 meV per atom
Space group ... P4/mmm, No. 123


Entry 23:
Material: CdReN2F
Method: DFT, PBE-GGA
State: relaxed

POSCAR file:
```
CdReN2F
1.0
3.912 0.000 0.000
0.000 3.912 0.000
0.000 0.000 4.265
Cd Re N F
1 1 2 1
Direct
0.000 0.000 0.000
0.500 0.500 0.500
0.000 0.500 0.500
0.500 0.000 0.500
0.500 0.500 0.000
```

E_form (uncorrected) ... -0.01 eV/atom
Relative energy among the computed polymorphs ... 0.0 meV per atom
Space group ... P4/mmm, No. 123


Entry 24:
Material: CdRhNF2
Method: DFT, PBE-GGA
State: relaxed

POSCAR file:
```
CdRhNF2
1.0
4.340 0.000 0.000
0.000 4.340 0.000
0.000 0.000 4.377
Cd Rh N F
1 1 1 2
Direct
0.000 0.000 0.000
0.500 0.500 0.500
0.000 0.000 0.500
0.000 0.500 0.000
0.500 0.000 0.000
```

E_form (uncorrected) ... 0.37 eV/atom
Relative energy among the computed polymorphs ... 809.5 meV per atom
Space group ... P4/mmm, No. 123


Entry 25:
Material: CdRhNF2
Method: DFT, PBE-GGA
State: relaxed

POSCAR file:
```
CdRhNF2
1.0
4.441 0.000 0.000
0.000 4.441 0.000
0.000 0.000 3.686
Cd Rh N F
1 1 1 2
Direct
0.000 0.000 0.000
0.500 0.500 0.500
0.500 0.500 0.000
0.000 0.500 0.500
0.500 0.000 0.500
```

E_form (uncorrected) ... -0.44 eV/atom
Relative energy among the computed polymorphs ... 0.0 meV per atom
Space group ... P4/mmm, No. 123


Entry 26:
Material: CdRuNF2
Method: DFT, PBE-GGA
State: relaxed

POSCAR file:
```
CdRuNF2
1.0
4.319 0.000 0.000
0.000 4.319 0.000
0.000 0.000 3.753
Cd Ru N F
1 1 1 2
Direct
0.000 0.000 0.000
0.500 0.500 0.500
0.500 0.500 0.000
0.000 0.500 0.500
0.500 0.000 0.500
```

E_form (uncorrected) ... -0.49 eV/atom
Relative energy among the computed polymorphs ... 0.0 meV per atom
Space group ... P4/mmm, No. 123


Entry 27:
Material: CdRuNF2
Method: DFT, PBE-GGA
State: relaxed

POSCAR file:
```
CdRuNF2
1.0
4.292 0.000 0.000
0.000 4.292 0.000
0.000 0.000 4.373
Cd Ru N F
1 1 1 2
Direct
0.000 0.000 0.000
0.500 0.500 0.500
0.000 0.000 0.500
0.000 0.500 0.000
0.500 0.000 0.000
```

E_form (uncorrected) ... 0.48 eV/atom
Relative energy among the computed polymorphs ... 967.5 meV per atom
Space group ... P4/mmm, No. 123


Entry 28:
Material: CdRuN2F
Method: DFT, PBE-GGA
State: relaxed

POSCAR file:
```
CdRuN2F
1.0
3.851 0.000 0.000
0.000 3.851 0.000
0.000 0.000 4.373
Cd Ru N F
1 1 2 1
Direct
0.000 0.000 0.000
0.500 0.500 0.500
0.000 0.500 0.500
0.500 0.000 0.500
0.500 0.500 0.000
```

E_form (uncorrected) ... 0.27 eV/atom
Relative energy among the computed polymorphs ... 0.0 meV per atom
Space group ... P4/mmm, No. 123


Entry 29:
Material: CdRuN2F
Method: DFT, PBE-GGA
State: relaxed

POSCAR file:
```
CdRuN2F
1.0
4.174 0.000 0.000
0.000 4.174 0.000
0.000 0.000 4.208
Cd Ru N F
1 1 2 1
Direct
0.000 0.000 0.000
0.500 0.500 0.500
0.000 0.500 0.000
0.500 0.000 0.000
0.000 0.000 0.500
```

E_form (uncorrected) ... 1.70 eV/atom
Relative energy among the computed polymorphs ... 1424.1 meV per atom
Space group ... P4/mmm, No. 123


no.,DOS(E_F) (states/eV/f.u.)
1,5.6
2,1.3
3,6.7
4,3.1
5,4.9
6,2.1
7,3.9
8,4.6
9,2.1
10,2.7
11,1.5
12,1.0
13,1.9
14,5.2
15,3.2
16,3.9
17,3.4
18,1.7
19,0.3
20,2.0
21,2.2
22,2.4
23,2.9
24,4.1
25,2.6
26,3.8
27,4.3
28,3.3
29,4.0